VASP calculation (PBE) on crystalline Sr2Au at its relaxed geometry.

Lattice parameters (Å, degrees): 7.674 7.674 7.674 90.00 90.00 90.00
Space group Fm-3m (No. 225)
Asymmetric unit:
Sr 0.250 0.250 0.250
Au 0.000 0.000 0.000

total magnetization	0.0	Bohr magnetons per cell
V	37.66	Å³ per atom
DFT total energy	-32.67	eV/cell
energy of formation from the pure elements	-508	meV/atom

VASP calculation (PBE) on crystalline CaEr3Ir8 at its relaxed geometry.

Lattice parameters (Å, degrees): 5.3446 5.3446 26.1952 90.00 90.00 120.00
Space group R3m (No. 160, hexagonal axes)
Asymmetric unit:
Ca 0.0000 0.0000 0.0000
Er 0.0000 0.0000 0.3731
Er 0.0000 0.0000 0.4992
Er 0.0000 0.0000 0.8761
Ir 0.0000 0.0000 0.1871
Ir 0.0000 0.0000 0.6871
Ir 0.0011 0.5006 0.4378
Ir 0.1673 0.3346 0.2697

total magnetization	0.0	Bohr magnetons per cell
V	18.00	Å³ per atom
DFT total energy	-286.39	eV/cell
energy of formation from the pure elements	-740	meV/atom

VASP calculation (PBE) on crystalline CrTe2PdPt at its relaxed geometry.

Lattice parameters (Å, degrees): 4.895 4.895 4.666 90.00 90.00 90.00
Space group P4/mmm (No. 123)
Asymmetric unit:
Cr 0.000 0.000 0.000
Te 0.000 0.500 0.000
Pd 0.000 0.000 0.500
Pt 0.500 0.500 0.500

uncorrected formation energy	4.17	eV/f.u.
total magnetization	0.0	Bohr magnetons per cell
V	22.36	Å³ per atom
DFT total energy	-22.97	eV/cell